P:
The following is a meta-GGA SCAN calculation of a crystal of SiTeP2 relaxed with PBEsol, from Alexandria.

The structure in CIF format:
```
data_SiTeP2
_space_group_name_H-M_alt 'R -3 m'
_space_group_IT_number 166
_space_group_name_Hall '-R 3 2"'
_cell_length_a 3.6341
_cell_length_b 3.6341
_cell_length_c 19.0131
_cell_angle_alpha 90.00
_cell_angle_beta 90.00
_cell_angle_gamma 120.00
loop_
_atom_site_label
_atom_site_type_symbol
_atom_site_fract_x
_atom_site_fract_y
_atom_site_fract_z
_atom_site_occupancy
Si1 Si 0.0000 0.0000 0.0000 1
Te1 Te 0.0000 0.0000 0.5000 1
P1 P 0.0000 0.0000 0.2663 1
```



Q:
The following is a meta-GGA SCAN calculation of a crystal of SiTeP2 relaxed with PBEsol, from Alexandria.

The structure in CIF format:
```
data_SiTeP2
_space_group_name_H-M_alt 'F m -3 m'
_space_group_IT_number 225
_space_group_name_Hall '-F 4 2 3'
_cell_length_a 6.5192
_cell_length_b 6.5192
_cell_length_c 6.5192
_cell_angle_alpha 90.00
_cell_angle_beta 90.00
_cell_angle_gamma 90.00
loop_
_atom_site_label
_atom_site_type_symbol
_atom_site_fract_x
_atom_site_fract_y
_atom_site_fract_z
_atom_site_occupancy
Si1 Si 0.0000 0.0000 0.0000 1
Te1 Te 0.0000 0.0000 0.5000 1
P1 P 0.2500 0.2500 0.2500 1
```



Result of the stability comparison: Q is the least stable of them.



P:
The following is a meta-GGA SCAN calculation of a crystal of Tl2SiP relaxed with PBEsol, from Alexandria.

The structure in CIF format:
```
data_Tl2SiP
_space_group_name_H-M_alt 'P 1 m 1'
_space_group_IT_number 6
_cell_length_a 3.9197
_cell_length_b 3.4667
_cell_length_c 7.2027
_cell_angle_alpha 90.00
_cell_angle_beta 105.32
_cell_angle_gamma 90.00
loop_
_space_group_symop_operation_xyz
'x,y,z'
'x,-y,z'
loop_
_atom_site_label
_atom_site_type_symbol
_atom_site_fract_x
_atom_site_fract_y
_atom_site_fract_z
_atom_site_occupancy
Tl1 Tl 0.0000 0.0000 0.0000 1
Tl2 Tl 0.3253 0.5000 0.6580 1
Si1 Si 0.7193 0.0000 0.4386 1
P1 P 0.6107 0.5000 0.2300 1
```



Q:
The following is a meta-GGA SCAN calculation of a crystal of Tl2SiP relaxed with PBEsol, from Alexandria.

The structure in CIF format:
```
data_Tl2SiP
_space_group_name_H-M_alt 'I -4 2 d'
_space_group_IT_number 122
_space_group_name_Hall 'I -4 2bw'
_cell_length_a 6.0923
_cell_length_b 6.0923
_cell_length_c 11.8399
_cell_angle_alpha 90.00
_cell_angle_beta 90.00
_cell_angle_gamma 90.00
loop_
_atom_site_label
_atom_site_type_symbol
_atom_site_fract_x
_atom_site_fract_y
_atom_site_fract_z
_atom_site_occupancy
Tl1 Tl 0.2489 0.2500 0.1250 1
Si1 Si 0.0000 0.0000 0.5000 1
P1 P 0.0000 0.0000 0.0000 1
```



Result of the stability comparison: Q is the least stable of them.



P:
The following is a meta-GGA SCAN calculation of a crystal of Zr2SiP relaxed with PBEsol, from Alexandria.

The structure in CIF format:
```
data_Zr2SiP
_space_group_name_H-M_alt 'I 4/m m m'
_space_group_IT_number 139
_space_group_name_Hall '-I 4 2'
_cell_length_a 4.3818
_cell_length_b 4.3818
_cell_length_c 7.1162
_cell_angle_alpha 90.00
_cell_angle_beta 90.00
_cell_angle_gamma 90.00
loop_
_atom_site_label
_atom_site_type_symbol
_atom_site_fract_x
_atom_site_fract_y
_atom_site_fract_z
_atom_site_occupancy
Zr1 Zr 0.0000 0.5000 0.2500 1
Si1 Si 0.0000 0.0000 0.0000 1
P1 P 0.0000 0.0000 0.5000 1
```



Q:
The following is a meta-GGA SCAN calculation of a crystal of Zr2SiP relaxed with PBEsol, from Alexandria.

The structure in CIF format:
```
data_Zr2SiP
_space_group_name_H-M_alt 'I m m m'
_space_group_IT_number 71
_space_group_name_Hall '-I 2 2'
_cell_length_a 3.8504
_cell_length_b 4.9703
_cell_length_c 7.2904
_cell_angle_alpha 90.00
_cell_angle_beta 90.00
_cell_angle_gamma 90.00
loop_
_atom_site_label
_atom_site_type_symbol
_atom_site_fract_x
_atom_site_fract_y
_atom_site_fract_z
_atom_site_occupancy
Zr1 Zr 0.0000 0.0000 0.2404 1
Si1 Si 0.0000 0.5000 0.0000 1
P1 P 0.0000 0.5000 0.5000 1
```



Result of the stability comparison: P is the least stable of them.



P:
The following is a meta-GGA SCAN calculation of a crystal of Sr2TcP relaxed with PBEsol, from Alexandria.

The structure in CIF format:
```
data_Sr2TcP
_space_group_name_H-M_alt 'P m m m'
_space_group_IT_number 47
_cell_length_a 3.1511
_cell_length_b 4.1304
_cell_length_c 7.0852
_cell_angle_alpha 90.00
_cell_angle_beta 90.00
_cell_angle_gamma 90.00
loop_
_space_group_symop_operation_xyz
'x,y,z'
'-x,-y,-z'
'-x,-y,z'
'x,y,-z'
'x,-y,-z'
'-x,y,z'
'-x,y,-z'
'x,-y,z'
loop_
_atom_site_label
_atom_site_type_symbol
_atom_site_fract_x
_atom_site_fract_y
_atom_site_fract_z
_atom_site_occupancy
Sr1 Sr 0.0000 0.0000 0.2365 1
Tc1 Tc 0.5000 0.5000 0.5000 1
P1 P 0.5000 0.5000 0.0000 1
```



Q:
The following is a meta-GGA SCAN calculation of a crystal of Sr2TcP relaxed with PBEsol, from Alexandria.

The structure in CIF format:
```
data_Sr2TcP
_space_group_name_H-M_alt 'A m m 2'
_space_group_IT_number 38
_cell_length_a 4.0399
_cell_length_b 4.6899
_cell_length_c 11.0400
_cell_angle_alpha 90.00
_cell_angle_beta 90.00
_cell_angle_gamma 90.00
loop_
_space_group_symop_operation_xyz
'x,y,z'
'-x,-y,z'
'-x,y,z'
'x,-y,z'
'x,y+1/2,z+1/2'
'-x,-y+1/2,z+1/2'
'-x,y+1/2,z+1/2'
'x,-y+1/2,z+1/2'
loop_
_atom_site_label
_atom_site_type_symbol
_atom_site_fract_x
_atom_site_fract_y
_atom_site_fract_z
_atom_site_occupancy
Sr1 Sr 0.0000 0.0000 0.0000 1
Sr2 Sr 0.5000 0.0000 0.2857 1
Tc1 Tc 0.0000 0.0000 0.6855 1
P1 P 0.5000 0.0000 0.5896 1
```



Result of the stability comparison: P is the least stable of them.



P:
The following is a meta-GGA SCAN calculation of a crystal of TaTl2P relaxed with PBEsol, from Alexandria.

The structure in CIF format:
```
data_TaTl2P
_space_group_name_H-M_alt 'P 4/m m m'
_space_group_IT_number 123
_space_group_name_Hall '-P 4 2'
_cell_length_a 3.8421
_cell_length_b 3.8421
_cell_length_c 5.4512
_cell_angle_alpha 90.00
_cell_angle_beta 90.00
_cell_angle_gamma 90.00
loop_
_atom_site_label
_atom_site_type_symbol
_atom_site_fract_x
_atom_site_fract_y
_atom_site_fract_z
_atom_site_occupancy
Ta1 Ta 0.0000 0.0000 0.0000 1
Tl1 Tl 0.5000 0.5000 0.2504 1
P1 P 0.0000 0.0000 0.5000 1
```



Q:
The following is a meta-GGA SCAN calculation of a crystal of TaTl2P relaxed with PBEsol, from Alexandria.

The structure in CIF format:
```
data_TaTl2P
_space_group_name_H-M_alt 'P m m m'
_space_group_IT_number 47
_cell_length_a 3.2305
_cell_length_b 4.7793
_cell_length_c 5.2260
_cell_angle_alpha 90.00
_cell_angle_beta 90.00
_cell_angle_gamma 90.00
loop_
_space_group_symop_operation_xyz
'x,y,z'
'-x,-y,-z'
'-x,-y,z'
'x,y,-z'
'x,-y,-z'
'-x,y,z'
'-x,y,-z'
'x,-y,z'
loop_
_atom_site_label
_atom_site_type_symbol
_atom_site_fract_x
_atom_site_fract_y
_atom_site_fract_z
_atom_site_occupancy
Ta1 Ta 0.0000 0.0000 0.0000 1
Tl1 Tl 0.0000 0.5000 0.5000 1
Tl2 Tl 0.5000 0.0000 0.5000 1
P1 P 0.5000 0.5000 0.0000 1
```



R:
The following is a meta-GGA SCAN calculation of a crystal of TaTl2P relaxed with PBEsol, from Alexandria.

The structure in CIF format:
```
data_TaTl2P
_space_group_name_H-M_alt 'I m m 2'
_space_group_IT_number 44
_cell_length_a 3.2375
_cell_length_b 4.9548
_cell_length_c 10.5223
_cell_angle_alpha 90.00
_cell_angle_beta 90.00
_cell_angle_gamma 90.00
loop_
_space_group_symop_operation_xyz
'x,y,z'
'-x,-y,z'
'-x,y,z'
'x,-y,z'
'x+1/2,y+1/2,z+1/2'
'-x+1/2,-y+1/2,z+1/2'
'-x+1/2,y+1/2,z+1/2'
'x+1/2,-y+1/2,z+1/2'
loop_
_atom_site_label
_atom_site_type_symbol
_atom_site_fract_x
_atom_site_fract_y
_atom_site_fract_z
_atom_site_occupancy
Ta1 Ta 0.0000 0.0000 0.0000 1
Tl1 Tl 0.0000 0.0000 0.5563 1
Tl2 Tl 0.0000 0.5000 0.7686 1
P1 P 0.0000 0.5000 0.3305 1
```



Result of the stability comparison: Q is the least stable of them.



P:
The following is a meta-GGA SCAN calculation of a crystal of TcP relaxed with PBEsol, from Alexandria.

The structure in CIF format:
```
data_TcP
_space_group_name_H-M_alt 'P m -3 m'
_space_group_IT_number 221
_space_group_name_Hall '-P 4 2 3'
_cell_length_a 2.9128
_cell_length_b 2.9128
_cell_length_c 2.9128
_cell_angle_alpha 90.00
_cell_angle_beta 90.00
_cell_angle_gamma 90.00
loop_
_atom_site_label
_atom_site_type_symbol
_atom_site_fract_x
_atom_site_fract_y
_atom_site_fract_z
_atom_site_occupancy
Tc1 Tc 0.0000 0.0000 0.0000 1
P1 P 0.5000 0.5000 0.5000 1
```



Q:
The following is a meta-GGA SCAN calculation of a crystal of TcP relaxed with PBEsol, from Alexandria.

The structure in CIF format:
```
data_TcP
_space_group_name_H-M_alt 'P n m a'
_space_group_IT_number 62
_cell_length_a 5.6408
_cell_length_b 3.0306
_cell_length_c 6.1896
_cell_angle_alpha 90.00
_cell_angle_beta 90.00
_cell_angle_gamma 90.00
loop_
_space_group_symop_operation_xyz
'x,y,z'
'-x,-y,-z'
'-x+1/2,-y,z+1/2'
'x+1/2,y,-z+1/2'
'x+1/2,-y+1/2,-z+1/2'
'-x+1/2,y+1/2,z+1/2'
'-x,y+1/2,-z'
'x,-y+1/2,z'
loop_
_atom_site_label
_atom_site_type_symbol
_atom_site_fract_x
_atom_site_fract_y
_atom_site_fract_z
_atom_site_occupancy
Tc1 Tc 0.0082 0.2500 0.1988 1
P1 P 0.1869 0.2500 0.5586 1
```



R:
The following is a meta-GGA SCAN calculation of a crystal of TcP relaxed with PBEsol, from Alexandria.

The structure in CIF format:
```
data_TcP
_space_group_name_H-M_alt 'P 21 3'
_space_group_IT_number 198
_space_group_name_Hall 'P 2ac 2ab 3'
_cell_length_a 4.7480
_cell_length_b 4.7480
_cell_length_c 4.7480
_cell_angle_alpha 90.00
_cell_angle_beta 90.00
_cell_angle_gamma 90.00
loop_
_atom_site_label
_atom_site_type_symbol
_atom_site_fract_x
_atom_site_fract_y
_atom_site_fract_z
_atom_site_occupancy
Tc1 Tc 0.1399 0.1399 0.1399 1
P1 P 0.0772 0.5772 0.9228 1
```



S:
The following is a meta-GGA SCAN calculation of a crystal of TcP relaxed with PBEsol, from Alexandria.

The structure in CIF format:
```
data_TcP
_space_group_name_H-M_alt 'C 1 m 1'
_space_group_IT_number 8
_cell_length_a 8.1352
_cell_length_b 3.0164
_cell_length_c 6.5027
_cell_angle_alpha 90.00
_cell_angle_beta 100.24
_cell_angle_gamma 90.00
loop_
_space_group_symop_operation_xyz
'x,y,z'
'x,-y,z'
'x+1/2,y+1/2,z'
'x+1/2,-y+1/2,z'
loop_
_atom_site_label
_atom_site_type_symbol
_atom_site_fract_x
_atom_site_fract_y
_atom_site_fract_z
_atom_site_occupancy
Tc1 Tc 0.0000 0.0000 0.0000 1
Tc2 Tc 0.0852 0.0000 0.5982 1
Tc3 Tc 0.2627 0.5000 0.2983 1
P1 P 0.2027 0.5000 0.9089 1
P2 P 0.3831 0.0000 0.6959 1
P3 P 0.4786 0.0000 0.2962 1
```



Result of the stability comparison: P is the least stable of them.



P:
The following is a meta-GGA SCAN calculation of a crystal of TcP relaxed with PBEsol, from Alexandria.

The structure in CIF format:
```
data_TcP
_space_group_name_H-M_alt 'P m m n'
_space_group_IT_number 59
_cell_length_a 2.9325
_cell_length_b 4.3022
_cell_length_c 4.0978
_cell_angle_alpha 90.00
_cell_angle_beta 90.00
_cell_angle_gamma 90.00
loop_
_space_group_symop_operation_xyz
'x,y,z'
'-x,-y,-z'
'-x+1/2,-y+1/2,z'
'x+1/2,y+1/2,-z'
'x+1/2,-y,-z'
'-x+1/2,y,z'
'-x,y+1/2,-z'
'x,-y+1/2,z'
loop_
_atom_site_label
_atom_site_type_symbol
_atom_site_fract_x
_atom_site_fract_y
_atom_site_fract_z
_atom_site_occupancy
Tc1 Tc 0.2500 0.2500 0.1294 1
P1 P 0.2500 0.7500 0.3908 1
```



Q:
The following is a meta-GGA SCAN calculation of a crystal of TcP relaxed with PBEsol, from Alexandria.

The structure in CIF format:
```
data_TcP
_space_group_name_H-M_alt 'P -6 m 2'
_space_group_IT_number 187
_space_group_name_Hall 'P -6 2'
_cell_length_a 3.2982
_cell_length_b 3.2982
_cell_length_c 2.9134
_cell_angle_alpha 90.00
_cell_angle_beta 90.00
_cell_angle_gamma 120.00
loop_
_atom_site_label
_atom_site_type_symbol
_atom_site_fract_x
_atom_site_fract_y
_atom_site_fract_z
_atom_site_occupancy
Tc1 Tc 0.0000 0.0000 0.0000 1
P1 P 0.6667 0.3333 0.5000 1
```



Result of the stability comparison: P is the least stable of them.



P:
The following is a meta-GGA SCAN calculation of a crystal of Tc2TeP relaxed with PBEsol, from Alexandria.

The structure in CIF format:
```
data_Tc2TeP
_space_group_name_H-M_alt 'F m -3 m'
_space_group_IT_number 225
_space_group_name_Hall '-F 4 2 3'
_cell_length_a 6.1925
_cell_length_b 6.1925
_cell_length_c 6.1925
_cell_angle_alpha 90.00
_cell_angle_beta 90.00
_cell_angle_gamma 90.00
loop_
_atom_site_label
_atom_site_type_symbol
_atom_site_fract_x
_atom_site_fract_y
_atom_site_fract_z
_atom_site_occupancy
Tc1 Tc 0.2500 0.2500 0.2500 1
Te1 Te 0.0000 0.0000 0.0000 1
P1 P 0.0000 0.0000 0.5000 1
```



Q:
The following is a meta-GGA SCAN calculation of a crystal of Tc2TeP relaxed with PBEsol, from Alexandria.

The structure in CIF format:
```
data_Tc2TeP
_space_group_name_H-M_alt 'I -4 m 2'
_space_group_IT_number 119
_space_group_name_Hall 'I -4 -2'
_cell_length_a 4.0019
_cell_length_b 4.0019
_cell_length_c 7.7504
_cell_angle_alpha 90.00
_cell_angle_beta 90.00
_cell_angle_gamma 90.00
loop_
_atom_site_label
_atom_site_type_symbol
_atom_site_fract_x
_atom_site_fract_y
_atom_site_fract_z
_atom_site_occupancy
Tc1 Tc 0.0000 0.0000 0.0000 1
Tc2 Tc 0.0000 0.5000 0.2500 1
Te1 Te 0.0000 0.0000 0.5000 1
P1 P 0.0000 0.5000 0.7500 1
```



R:
The following is a meta-GGA SCAN calculation of a crystal of Tc2TeP relaxed with PBEsol, from Alexandria.

The structure in CIF format:
```
data_Tc2TeP
_space_group_name_H-M_alt 'P 1 2/m 1'
_space_group_IT_number 10
_cell_length_a 3.0962
_cell_length_b 3.5524
_cell_length_c 6.0996
_cell_angle_alpha 90.00
_cell_angle_beta 104.34
_cell_angle_gamma 90.00
loop_
_space_group_symop_operation_xyz
'x,y,z'
'-x,-y,-z'
'-x,y,-z'
'x,-y,z'
loop_
_atom_site_label
_atom_site_type_symbol
_atom_site_fract_x
_atom_site_fract_y
_atom_site_fract_z
_atom_site_occupancy
Tc1 Tc 0.1535 0.0000 0.3003 1
Te1 Te 0.5000 0.5000 0.0000 1
P1 P 0.0000 0.5000 0.5000 1
```



S:
The following is a meta-GGA SCAN calculation of a crystal of Tc2TeP relaxed with PBEsol, from Alexandria.

The structure in CIF format:
```
data_Tc2TeP
_space_group_name_H-M_alt 'P m m m'
_space_group_IT_number 47
_cell_length_a 3.1125
_cell_length_b 4.0250
_cell_length_c 5.0989
_cell_angle_alpha 90.00
_cell_angle_beta 90.00
_cell_angle_gamma 90.00
loop_
_space_group_symop_operation_xyz
'x,y,z'
'-x,-y,-z'
'-x,-y,z'
'x,y,-z'
'x,-y,-z'
'-x,y,z'
'-x,y,-z'
'x,-y,z'
loop_
_atom_site_label
_atom_site_type_symbol
_atom_site_fract_x
_atom_site_fract_y
_atom_site_fract_z
_atom_site_occupancy
Tc1 Tc 0.0000 0.0000 0.0000 1
Tc2 Tc 0.5000 0.0000 0.5000 1
Te1 Te 0.0000 0.5000 0.5000 1
P1 P 0.5000 0.5000 0.0000 1
```



Result of the stability comparison: S is the least stable of them.